Entry 1:
First-principles (PBE-GGA) data for Na4PuHg5 after structural relaxation, as listed in Alexandria via LeMat-Bulk.

The structure in POSCAR format:
```
Na4PuHg5
1.0
3.380 0.000 0.000
0.000 3.380 0.000
0.000 0.000 22.385
Na Pu Hg
4 1 5
direct
0.000 0.000 0.199
0.000 0.000 0.399
0.000 0.000 0.601
0.000 0.000 0.801
0.000 0.000 0.000
0.500 0.500 0.100
0.500 0.500 0.299
0.500 0.500 0.500
0.500 0.500 0.701
0.500 0.500 0.900
```

Computed properties:
- Calculated total energy: -23.13 eV/cell
- Formation enthalpy at 0 K: -194 kJ/mol of formula units

***

Entry 2:
First-principles (PBE-GGA) data for PrAg9Pb2 after structural relaxation, as listed in Alexandria via LeMat-Bulk.

The structure in POSCAR format:
```
PrAg9Pb2
1.0
5.692 0.000 0.000
2.846 4.930 0.000
2.846 1.643 9.283
Pr Ag Pb
1 9 2
direct
0.000 0.000 0.000
0.666 0.666 0.001
0.334 0.334 0.999
0.500 0.500 0.500
0.415 0.415 0.250
0.919 0.415 0.250
0.415 0.919 0.250
0.585 0.585 0.750
0.585 0.081 0.750
0.081 0.585 0.750
0.856 0.856 0.431
0.144 0.144 0.569
```

Computed properties:
- Calculated total energy: -38.46 eV/cell
- Formation enthalpy at 0 K: -58 kJ/mol of formula units

***

Entry 3:
First-principles (PBE-GGA) data for CsUSe3S after structural relaxation, as listed in Alexandria via LeMat-Bulk.

The structure in POSCAR format:
```
CsUSe3S
1.0
4.096 0.000 0.000
0.000 9.019 0.268
0.000 -3.990 10.373
Cs U Se S
2 2 6 2
direct
0.250 0.236 0.313
0.750 0.764 0.687
0.250 0.673 0.170
0.750 0.327 0.830
0.750 0.873 0.093
0.250 0.127 0.907
0.250 0.655 0.401
0.750 0.345 0.599
0.750 0.442 0.113
0.250 0.558 0.887
0.250 0.133 0.707
0.750 0.867 0.293
```

Computed properties:
- Raw formation energy: -1.01 eV per atom
- Calculated total energy: -65.54 eV/cell

***

Entry 4:
First-principles (PBE-GGA) data for FeRh4W after structural relaxation, as listed in Alexandria via LeMat-Bulk.

The structure in POSCAR format:
```
FeRh4W
1.0
3.604 0.000 1.042
2.026 4.306 -0.254
0.261 -1.658 5.847
Fe Rh W
1 4 1
direct
0.500 0.500 0.500
0.836 0.500 0.828
0.329 0.011 0.330
0.164 0.500 0.172
0.671 0.989 0.670
0.000 0.000 0.000
```

Computed properties:
- Calculated total energy: -51.45 eV/cell
- Formation enthalpy at 0 K: -61 kJ/mol of formula units